The following is a DFT calculation (meta-GGA SCAN) of a crystal of Nd12Co6Sn relaxed with PBEsol.

Uncorrected energy: -34.99 eV/atom
SG: Im-3
DOS(E_F): 8.602 states/eV/f.u.
Spin magnetization: 0.000 μB/atom
ΔE_f: -0.11 eV per atom

Unit cell a=8.5068 b=8.5068 c=8.5068 alpha=109.47 beta=109.47 gamma=109.47
Positions (direct):
Co: 0.1116 0.6116 0.5000
Co: 0.3884 0.5000 0.8884
Co: 0.5000 0.8884 0.3884
Co: 0.5000 0.1116 0.6116
Co: 0.6116 0.5000 0.1116
Co: 0.8884 0.3884 0.5000
Sn: 0.0000 0.0000 0.0000
Nd: 0.6949 0.5023 0.8074
Nd: 0.3051 0.4977 0.1926
Nd: 0.8074 0.6949 0.5023
Nd: 0.6949 0.8875 0.1926
Nd: 0.1125 0.8074 0.3051
Nd: 0.1926 0.6949 0.8875
Nd: 0.5023 0.8074 0.6949
Nd: 0.8074 0.3051 0.1125
Nd: 0.8875 0.1926 0.6949
Nd: 0.3051 0.1125 0.8074
Nd: 0.1926 0.3051 0.4977
Nd: 0.4977 0.1926 0.3051


The following is a DFT calculation (meta-GGA SCAN) of a crystal of Na3LiSb relaxed with PBEsol.

Uncorrected energy: -10.54 eV/atom
SG: Pm-3m
DOS(E_F): 1.208 states/eV/f.u.
Spin magnetization: 0.177 μB/atom

Unit cell a=5.8782 b=5.8782 c=5.8782 alpha=90.00 beta=90.00 gamma=90.00
Positions (direct):
Li: 0.5000 0.5000 0.5000
Na: 0.0000 0.5000 0.0000
Na: 0.0000 0.0000 0.5000
Na: 0.5000 0.0000 0.0000
Sb: 0.0000 0.0000 0.0000


The following is a DFT calculation (meta-GGA SCAN) of a crystal of Mg3Zr relaxed with PBEsol.

Uncorrected energy: -11.35 eV/atom
SG: R-3m
DOS(E_F): 2.560 states/eV/f.u.
Spin magnetization: 0.086 μB/atom
ΔE_f: 0.05 eV per atom

Unit cell a=2.8840 b=5.9828 c=5.9828 alpha=117.47 beta=99.25 gamma=99.25
Positions (direct):
Mg: 0.5000 0.5000 0.0000
Mg: 0.5000 0.0000 0.5000
Mg: 0.0000 0.5000 0.5000
Zr: 0.0000 0.0000 0.0000


The following is a DFT calculation (meta-GGA SCAN) of a crystal of GaAs3I relaxed with PBEsol.

Uncorrected energy: -21.40 eV/atom
SG: Pm-3m
DOS(E_F): 6.239 states/eV/f.u.
Spin magnetization: 0.001 μB/atom

Unit cell a=5.3334 b=5.3334 c=5.3334 alpha=90.00 beta=90.00 gamma=90.00
Positions (direct):
As: 0.5000 0.0000 0.0000
As: 0.0000 0.0000 0.5000
As: 0.0000 0.5000 0.0000
I: 0.0000 0.0000 0.0000
Ga: 0.5000 0.5000 0.5000


The following is a DFT calculation (meta-GGA SCAN) of a crystal of Ta2NiHRh relaxed with PBEsol.

Uncorrected energy: -36.98 eV/atom
SG: P4/mmm
DOS(E_F): 3.462 states/eV/f.u.
Spin magnetization: 0.000 μB/atom

Unit cell a=2.9061 b=4.8117 c=4.8117 alpha=90.00 beta=90.00 gamma=90.00
Positions (direct):
Rh: 0.5000 0.5000 0.5000
Ta: 0.0000 0.0000 0.5000
Ta: 0.0000 0.5000 0.0000
H: 0.5000 0.0000 0.0000
Ni: 0.0000 0.0000 0.0000


The following is a DFT calculation (meta-GGA SCAN) of a crystal of YTlCo4 relaxed with PBEsol.

Uncorrected energy: -28.18 eV/atom
SG: F-43m
DOS(E_F): 6.890 states/eV/f.u.
Spin magnetization: 1.031 μB/atom
ΔE_f: 0.05 eV per atom

Unit cell a=4.9296 b=4.9296 c=4.9296 alpha=60.00 beta=60.00 gamma=60.00
Positions (direct):
Y: 0.0000 0.0000 0.0000
Co: 0.3755 0.3755 0.8735
Co: 0.8735 0.3755 0.3755
Co: 0.3755 0.3755 0.3755
Co: 0.3755 0.8735 0.3755
Tl: 0.7500 0.7500 0.7500


The following is a DFT calculation (meta-GGA SCAN) of a crystal of Sc3Sb relaxed with PBEsol.

Uncorrected energy: -20.53 eV/atom
SG: Pmmn
DOS(E_F): 4.072 states/eV/f.u.
Energy above the most stable polymorph in this dataset: 8 meV/atom
Spin magnetization: 0.001 μB/atom

Unit cell a=4.9969 b=5.7317 c=6.0453 alpha=90.00 beta=90.00 gamma=90.00
Positions (direct):
Sc: 0.5000 0.1450 0.7547
Sc: 0.5000 0.1450 0.2453
Sc: 0.5000 0.6375 0.0000
Sc: 0.0000 0.8550 0.7453
Sc: 0.0000 0.8550 0.2547
Sc: 0.0000 0.3625 0.5000
Sb: 0.0000 0.3391 0.0000
Sb: 0.5000 0.6609 0.5000


The following is a DFT calculation (meta-GGA SCAN) of a crystal of Nd2Al9Co3 relaxed with PBEsol.

Uncorrected energy: -15.43 eV/atom
SG: Cmcm
DOS(E_F): 6.592 states/eV/f.u.
Spin magnetization: 0.028 μB/atom
ΔE_f: -0.51 eV per atom

Unit cell a=7.3852 b=7.3852 c=9.3550 alpha=90.00 beta=90.00 gamma=119.10
Positions (direct):
Nd: 0.6719 0.9925 0.7500
Nd: 0.0075 0.3281 0.2500
Nd: 0.9925 0.6719 0.7500
Nd: 0.3281 0.0075 0.2500
Al: 0.6647 0.0012 0.0705
Al: 0.6613 0.4477 0.2500
Al: 0.6674 0.6674 0.9628
Al: 0.4477 0.6613 0.2500
Al: 0.8730 0.8730 0.2500
Al: 0.0012 0.6647 0.0705
Al: 0.6647 0.0012 0.4295
Al: 0.3353 0.9988 0.5705
Al: 0.5523 0.3387 0.7500
Al: 0.3326 0.3326 0.0372
Al: 0.0012 0.6647 0.4295
Al: 0.9988 0.3353 0.5705
Al: 0.1270 0.1270 0.7500
Al: 0.3387 0.5523 0.7500
Al: 0.9988 0.3353 0.9295
Al: 0.3353 0.9988 0.9295
Al: 0.3326 0.3326 0.4628
Al: 0.6674 0.6674 0.5372
Co: 0.6699 0.3301 0.5000
Co: 0.6699 0.3301 0.0000
Co: 0.3301 0.6699 0.0000
Co: 0.3301 0.6699 0.5000
Co: 0.0000 0.0000 0.0000
Co: 0.0000 0.0000 0.5000


The following is a DFT calculation (meta-GGA SCAN) of a crystal of SrZnIn relaxed with PBEsol.

Uncorrected energy: -23.52 eV/atom
SG: P-6m2
DOS(E_F): 1.446 states/eV/f.u.
Spin magnetization: 0.000 μB/atom
ΔE_f: -0.46 eV per atom

Unit cell a=3.9327 b=4.7921 c=4.7921 alpha=120.00 beta=90.00 gamma=90.00
Positions (direct):
Sr: 0.0000 0.3333 0.6667
In: 0.5000 0.0000 0.0000
Zn: 0.5000 0.6667 0.3333


The following is a DFT calculation (meta-GGA SCAN) of a crystal of Sr3DyMn2O8 relaxed with PBEsol.

Uncorrected energy: -17.31 eV/atom
SG: Amm2
DOS(E_F): 0.664 states/eV/f.u.
Spin magnetization: 0.500 μB/atom

Unit cell a=5.3727 b=5.3791 c=6.6150 alpha=90.00 beta=113.96 gamma=90.00
Positions (direct):
O: 0.2490 0.2590 0.0119
O: 0.6579 0.5000 0.3158
O: 0.7629 0.2590 0.0119
O: 0.2490 0.7410 0.0119
O: 0.1605 0.0000 0.3210
O: 0.7629 0.7410 0.0119
O: 0.8440 0.0000 0.6881
O: 0.3236 0.5000 0.6472
Mn: 0.0003 0.0000 0.0005
Mn: 0.4995 0.5000 0.9989
Sr: 0.8541 0.5000 0.7083
Sr: 0.3579 0.0000 0.7157
Sr: 0.6450 0.0000 0.2899
Dy: 0.1335 0.5000 0.2670


The following is a DFT calculation (meta-GGA SCAN) of a crystal of TaTi2CrI relaxed with PBEsol.

Uncorrected energy: -29.31 eV/atom
SG: P4/mmm
DOS(E_F): 4.947 states/eV/f.u.
Spin magnetization: 0.525 μB/atom

Unit cell a=4.5954 b=4.8083 c=4.8083 alpha=90.00 beta=90.00 gamma=90.00
Positions (direct):
I: 0.0000 0.0000 0.0000
Cr: 0.5000 0.0000 0.0000
Ta: 0.5000 0.5000 0.5000
Ti: 0.0000 0.0000 0.5000
Ti: 0.0000 0.5000 0.0000


The following is a DFT calculation (meta-GGA SCAN) of a crystal of IrSe2Br relaxed with PBEsol.

Uncorrected energy: -31.70 eV/atom
SG: P4/mmm
DOS(E_F): 2.861 states/eV/f.u.
Energy above the most stable polymorph in this dataset: 1260 meV/atom
Spin magnetization: 0.295 μB/atom

Unit cell a=3.6201 b=3.6201 c=6.5512 alpha=90.00 beta=90.00 gamma=90.00
Positions (direct):
Br: 0.5000 0.5000 0.5000
Ir: 0.0000 0.0000 0.5000
Se: 0.0000 0.5000 0.0000
Se: 0.5000 0.0000 0.0000


The following is a DFT calculation (meta-GGA SCAN) of a crystal of LiCoPO4 relaxed with PBEsol.

Uncorrected energy: -10.03 eV/atom
SG: Pna2_1
DOS(E_F): 0.000 states/eV/f.u.
Energy above the most stable polymorph in this dataset: 58 meV/atom
Spin magnetization: 0.429 μB/atom

Unit cell a=5.2124 b=6.3674 c=8.3976 alpha=90.00 beta=90.00 gamma=90.00
Positions (direct):
O: 0.6851 0.0097 0.5043
O: 0.6851 0.5097 0.9957
O: 0.3900 0.8342 0.2441
O: 0.9517 0.7162 0.3347
O: 0.8900 0.1658 0.7559
O: 0.9517 0.2162 0.1653
O: 0.4517 0.7838 0.8347
O: 0.8517 0.8790 0.9976
O: 0.1851 0.4903 0.0043
O: 0.3900 0.3342 0.2559
O: 0.1851 0.9903 0.4957
O: 0.3517 0.6210 0.4976
O: 0.8900 0.6658 0.7441
O: 0.8517 0.3790 0.5024
O: 0.3517 0.1210 0.0024
O: 0.4517 0.2838 0.6653
Li: 0.2370 0.0243 0.7381
Li: 0.2370 0.5243 0.7619
Li: 0.7370 0.4757 0.2381
Li: 0.7370 0.9757 0.2619
P: 0.2203 0.7943 0.3926
P: 0.2203 0.2943 0.1074
P: 0.7203 0.7057 0.8926
P: 0.7203 0.2057 0.6074
Co: 0.7252 0.2025 0.9649
Co: 0.2252 0.2975 0.4649
Co: 0.2252 0.7975 0.0351
Co: 0.7252 0.7025 0.5351


The following is a DFT calculation (meta-GGA SCAN) of a crystal of Ta3C2 relaxed with PBEsol.

Uncorrected energy: -44.52 eV/atom
SG: P-3m1
DOS(E_F): 2.509 states/eV/f.u.
Energy above the most stable polymorph in this dataset: 88 meV/atom
Spin magnetization: 0.000 μB/atom
ΔE_f: -0.53 eV per atom

Unit cell a=3.1186 b=3.1186 c=7.5062 alpha=90.00 beta=90.00 gamma=120.00
Positions (direct):
C: 0.6667 0.3333 0.1747
C: 0.3333 0.6667 0.8253
Ta: 0.3333 0.6667 0.3315
Ta: 0.0000 0.0000 0.0000
Ta: 0.6667 0.3333 0.6685


The following is a DFT calculation (meta-GGA SCAN) of a crystal of P2AuF2 relaxed with PBEsol.

Uncorrected energy: -20.33 eV/atom
SG: P4/mbm
DOS(E_F): 1.741 states/eV/f.u.
Spin magnetization: 0.000 μB/atom

Unit cell a=3.9858 b=6.1223 c=6.1223 alpha=90.00 beta=90.00 gamma=90.00
Positions (direct):
Au: 0.0000 0.5000 0.5000
Au: 0.0000 0.0000 0.0000
P: 0.0000 0.6305 0.1305
P: 0.0000 0.3695 0.8695
P: 0.0000 0.1305 0.3695
P: 0.0000 0.8695 0.6305
F: 0.5000 0.6441 0.1441
F: 0.5000 0.1441 0.3559
F: 0.5000 0.3559 0.8559
F: 0.5000 0.8559 0.6441


The following is a DFT calculation (meta-GGA SCAN) of a crystal of InCoMo2 relaxed with PBEsol.

Uncorrected energy: -29.63 eV/atom
SG: R3m
DOS(E_F): 2.561 states/eV/f.u.
Spin magnetization: 0.387 μB/atom
ΔE_f: 0.49 eV per atom

Unit cell a=2.8176 b=2.8176 c=9.0692 alpha=81.06 beta=81.06 gamma=60.00
Positions (direct):
Mo: 0.0030 0.0030 0.9909
Mo: 0.7572 0.7572 0.7284
In: 0.2439 0.2439 0.2682
Co: 0.4958 0.4958 0.5126


The following is a DFT calculation (meta-GGA SCAN) of a crystal of Mn2FeO4 relaxed with PBEsol.

Uncorrected energy: -13.28 eV/atom
SG: I4_1/amd
DOS(E_F): 2.192 states/eV/f.u.
Spin magnetization: 1.719 μB/atom

Unit cell a=5.6961 b=6.1570 c=5.6961 alpha=117.55 beta=90.00 gamma=117.55
Positions (direct):
Mn: 0.5000 0.5000 0.5000
Mn: 0.0000 0.0000 0.0000
Mn: 0.0000 0.5000 0.5000
Mn: 0.0000 0.0000 0.5000
O: 0.7515 0.5029 0.7303
O: 0.7515 0.5029 0.2726
O: 0.2274 0.9971 0.7485
O: 0.7726 0.0029 0.2515
O: 0.2303 0.0029 0.2514
O: 0.2485 0.4971 0.7274
O: 0.7697 0.9971 0.7486
O: 0.2485 0.4971 0.2697
Fe: 0.3750 0.7500 0.1250
Fe: 0.6250 0.2500 0.8750


The following is a DFT calculation (meta-GGA SCAN) of a crystal of La2CuRe relaxed with PBEsol.

Uncorrected energy: -42.97 eV/atom
SG: P4/mmm
DOS(E_F): 1.870 states/eV/f.u.
Energy above the most stable polymorph in this dataset: 0 meV/atom
Spin magnetization: 0.000 μB/atom
ΔE_f: 0.16 eV per atom

Unit cell a=3.5029 b=3.5029 c=7.3717 alpha=90.00 beta=90.00 gamma=90.02
Positions (direct):
La: 0.0000 0.0000 0.7358
La: 0.0000 0.0000 0.2642
Cu: 0.5000 0.5000 0.0000
Re: 0.5000 0.5000 0.5000


The following is a DFT calculation (meta-GGA SCAN) of a crystal of BeHg2P relaxed with PBEsol.

Uncorrected energy: -37.09 eV/atom
SG: Cmmm
DOS(E_F): 1.587 states/eV/f.u.
Spin magnetization: 0.000 μB/atom
ΔE_f: 0.69 eV per atom

Unit cell a=3.6901 b=4.5820 c=4.5820 alpha=110.44 beta=90.00 gamma=90.00
Positions (direct):
Be: 0.5000 0.5000 0.5000
Hg: 0.0000 0.0000 0.5000
Hg: 0.0000 0.5000 0.0000
P: 0.5000 0.0000 0.0000


The following is a DFT calculation (meta-GGA SCAN) of a crystal of LaIn2Pd2 relaxed with PBEsol.

Uncorrected energy: -35.81 eV/atom
SG: I4/mmm
DOS(E_F): 3.105 states/eV/f.u.
Spin magnetization: 0.000 μB/atom
ΔE_f: -0.73 eV per atom

Unit cell a=4.3147 b=4.3147 c=6.6476 alpha=108.94 beta=108.94 gamma=90.00
Positions (direct):
Pd: 0.3897 0.3897 0.7794
Pd: 0.6103 0.6103 0.2206
In: 0.7500 0.2500 0.5000
In: 0.2500 0.7500 0.5000
La: 0.0000 0.0000 0.0000